[1]
15
Lattice="5.5344 0.0000 0.0000 -2.7672 4.7929 0.0000 0.0000 0.0000 6.9471" Properties=species:S:1:pos:R:3 comment="Li2La3NbO9 (PBE, relaxed)" crystal_system=trigonal e_form_raw_ev_per_atom=-2.5692 m_tot_mub_per_atom=0.139 pbc="T T T"
O 0.0000 1.5679 2.2609
Nb 0.0000 0.0000 3.4735
O -1.4093 4.0089 2.2609
Li 2.7672 1.5976 5.6584
O 1.3578 0.7840 4.6861
O 2.7672 0.0000 0.0000
O -1.3836 2.3964 0.0000
O 2.7672 3.2250 4.6861
La 0.0000 0.0000 0.0000
La 2.7672 1.5976 1.9349
O 1.3836 2.3964 0.0000
Li 0.0000 3.1953 1.2887
La 0.0000 3.1953 5.0121
O 1.4093 4.0089 2.2609
O 4.1765 0.7840 4.6861


[2]
42
Lattice="5.4832 0.0000 0.0000 0.0000 5.4830 -0.0099 0.0000 2.6448 17.7695" Properties=species:S:1:pos:R:3 comment="Li3La5Ti6Nb2O26 (PBE, relaxed)" crystal_system=monoclinic e_form_raw_ev_per_atom=-3.0502 m_tot_mub_per_atom=0.000 pbc="T T T"
O 4.1501 1.3762 5.7107
O 2.9373 2.7415 -0.0049
O 1.5743 4.3263 1.8732
O 0.0535 5.5930 8.0001
O 2.5561 5.2537 13.8579
O 3.9024 1.1981 2.2750
O 4.3884 3.8318 2.0715
Ti 2.7712 2.6923 1.9289
Li 1.1837 4.0639 8.8798
O 0.1930 5.4134 3.8767
Li 4.1406 1.3224 8.8848
O 4.1501 6.7516 12.0489
Nb 2.7388 2.7215 6.2726
O 0.0535 2.5348 9.7596
O 1.3090 4.0787 11.7838
La 5.4724 2.7415 -0.0049
O 4.3884 4.2960 15.6882
Ti 0.0041 2.6513 11.5115
O 2.6719 5.5500 9.6570
O 1.0717 6.4477 15.8465
O 5.3123 0.0000 0.0000
O 2.5561 2.8741 3.9017
O 1.3090 4.0491 5.9758
Li 1.3453 1.3224 8.8848
La 2.7193 5.4062 4.0191
O 4.0857 3.9957 11.9807
La 2.7193 2.7216 13.7405
O 1.4169 6.8305 11.9835
Ti 0.0041 5.4764 6.2482
La 0.0247 2.6965 4.0267
O 4.0857 4.1320 5.7789
O 1.5743 3.8014 15.8864
La 0.0247 5.4312 13.7329
O 0.1930 2.7143 13.8829
Ti 0.0658 5.4238 1.9216
Ti 2.7712 5.4355 15.8308
O 2.6719 2.5778 8.1027
O 1.0717 1.6801 1.9132
O 1.4169 1.2973 5.7761
Nb 2.7388 5.4063 11.4870
Ti 0.0658 2.7039 15.8380
O 3.9024 6.9296 15.4846


[3]
5
Lattice="-1.5647 3.7622 2.7686 2.1739 -1.8809 3.7845 4.0916 2.5125 -1.1017" Properties=species:S:1:pos:R:3 comment="Li2LaNbRe (PBE, relaxed)" formation_enthalpy_0k_mev_per_atom=846 crystal_system=tetragonal m_tot_mub_per_atom=0.086 pbc="T T T"
Li -0.7824 1.8811 1.3843
La 2.3504 2.1969 2.7257
Li 2.0458 1.2562 -0.5508
Nb 0.0000 0.0000 0.0000
Re 1.0870 -0.9404 1.8923


[4]
5
Lattice="-2.7330 4.0312 -0.4526 0.0337 -0.5799 -5.3685 -4.0564 -2.7200 0.2683" Properties=species:S:1:pos:R:3 comment="Li2LaNbSb (PBE, relaxed)" crystal_system=tetragonal e_form_raw_ev_per_atom=0.2060 m_tot_mub_per_atom=0.275 pbc="T T T"
La -3.3779 0.3657 -2.7764
Li -1.3665 2.0156 -0.2263
Nb 0.0169 -0.2899 -2.6842
Li -2.0282 -1.3600 0.1342
Sb 0.0000 0.0000 0.0000


[5]
5
Lattice="-4.2263 -3.0492 1.4518 -0.6925 -1.1464 -4.4237 3.2784 -4.2625 0.5914" Properties=species:S:1:pos:R:3 comment="LiLa2NbSb (PBE, relaxed)" crystal_system=tetragonal e_form_raw_ev_per_atom=0.4053 m_tot_mub_per_atom=0.451 pbc="T T T"
Nb -0.8202 -4.2290 -1.1903
La 1.6392 -2.1312 0.2957
Li 0.0000 0.0000 0.0000
La -2.1131 -1.5246 0.7259
Sb -0.3462 -0.5732 -2.2119


[6]
4
Lattice="3.7544 0.0000 0.0000 0.0000 3.7544 0.0000 0.0000 0.0000 9.0279" Properties=species:S:1:pos:R:3 comment="LiLaNd2 (PBE, relaxed)" formation_enthalpy_0k_mev_per_atom=64 crystal_system=tetragonal m_tot_mub_per_atom=0.000 pbc="T T T"
Nd 0.0000 0.0000 7.0387
Li 1.8772 1.8772 0.0000
Nd 0.0000 0.0000 1.9892
La 1.8772 1.8772 4.5140


[7]
80
Lattice="15.4992 0.0000 0.0000 -5.1664 14.6128 0.0000 -5.1664 -7.3064 12.6551" Properties=species:S:1:pos:R:3 comment="Li3La5Nd12 (PBE, relaxed)" formation_enthalpy_0k_mev_per_atom=784 crystal_system=cubic m_tot_mub_per_atom=0.000 pbc="T T T"
Nd -5.1977 5.7488 11.7838
Nd 5.7634 6.5689 9.6351
La 9.0412 -0.9133 7.9094
Nd -4.5694 6.6373 7.1988
Nd 1.9862 5.8998 8.4763
La -1.2916 11.8729 1.5819
Nd 2.3171 1.7679 11.4196
Nd -2.3171 -0.1860 10.5064
Nd -5.1351 10.9353 4.5430
Nd 6.8552 2.4568 1.7845
Nd 2.5519 -2.1199 7.2408
La -2.5832 -3.6532 6.3275
Nd 1.6888 0.8793 7.5630
Nd 5.1977 2.1199 7.2408
Li 6.4580 0.9133 4.7457
Nd -1.6888 4.8496 10.8705
Nd 7.7184 13.0552 0.8712
La -1.2916 3.6532 3.1638
Nd 7.7184 3.6775 4.5430
Nd -0.2661 9.0743 1.2354
Nd -2.5520 3.6289 8.1121
Li 3.8748 0.0000 9.4913
Nd 10.3016 -3.6289 8.1121
Nd 10.5989 7.1204 2.1487
Nd -2.5520 -5.7488 11.7838
Nd 6.8552 11.2766 3.3076
Nd 4.5694 -1.4066 4.1788
Li 1.2916 7.3064 3.1638
Nd 2.8493 9.2602 0.9133
La 2.5832 3.6532 6.3275
Nd 8.3466 -0.7376 3.0200
Nd 7.1526 7.9755 7.1988
Nd -0.5970 0.7376 3.0200
Li 11.6244 0.0000 3.1638
Nd 11.2272 3.3362 3.3076
La 7.7496 0.0000 0.0000
Nd -4.2720 12.1560 1.7845
Nd -0.8944 8.1858 5.0921
La 0.0000 0.0000 0.0000
Nd 2.8493 5.5386 1.2354
Nd 6.0608 -0.8793 7.5630
Nd 5.4325 -1.7678 11.4196
Nd 2.3171 -1.9538 11.7418
Li -1.2916 6.3931 7.9094
Nd -0.2661 5.3526 0.9133
Li 9.0412 4.5665 1.5819
Nd 3.1802 1.4066 4.1788
La 6.4580 3.6532 9.4913
La 5.1664 -3.6532 6.3275
Nd 9.7358 0.6691 5.4563
La 1.2916 -3.6532 9.4913
Nd 3.4776 6.4271 5.0921
La 5.1664 7.3064 0.0000
La 6.4580 6.3931 4.7457
Li -3.8748 2.7399 11.0732
Nd -5.4325 0.1860 10.5064
Li 3.8748 8.2197 7.9094
La 3.8748 2.7399 1.5819
Nd 9.4384 -4.8496 10.8705
La -3.8748 8.2197 4.7457
Nd 5.4325 1.9539 11.7418
Nd -1.6888 -3.9702 9.3475
La 6.4580 -4.5665 11.0732
Li 1.2916 -0.9133 4.7457
Nd 2.6145 9.4263 5.4142
La -1.2916 0.9133 7.9094
Nd -1.9862 -0.6691 5.4563
Li -3.8748 -2.7399 11.0732
Nd -3.1802 8.0440 9.6351
Li -6.4580 7.3064 9.4913
Li 9.0412 10.0463 1.5819
La -2.5832 7.3064 0.0000
La -5.1664 3.6532 6.3275
Nd -0.0313 5.1865 5.4142
Nd -6.0608 3.9702 9.3475
Nd 0.5970 8.7130 8.4763
Nd 10.3641 1.5576 0.8712
La 1.2916 4.5665 11.0732
Nd 7.4835 7.4924 2.1487
La 3.8748 10.9596 3.1638


[8]
4
Lattice="3.8663 0.0000 0.0000 0.0000 3.8663 0.0000 0.0000 0.0000 7.6174" Properties=species:S:1:pos:R:3 comment="Li2LaNd (PBE, relaxed)" formation_enthalpy_0k_mev_per_atom=149 crystal_system=tetragonal m_tot_mub_per_atom=0.094 pbc="T T T"
Nd 1.9331 1.9331 0.0000
Li 0.0000 0.0000 1.8769
La 1.9331 1.9331 3.8087
Li 0.0000 0.0000 5.7405


VASP energy? In order: -7.46 -8.45 -5.41 -4.38 -4.79 -4.03 -3.60 -3.23 eV/atom.